A relaxed ZrTcGe crystal, computed with GGA-PBE.

```
3
Lattice="-1.934 -2.456 -0.914 2.861 -1.103 -3.091 0.319 -1.733 3.981" Properties=species:S:1:pos:R:3 pbc="T T T"
Ge -0.324 -0.412 -0.153
Tc 0.785 -2.007 1.444
Zr 0.785 -2.873 -1.314
```

Computed properties:
Total magnetic moment, μB per cell: 0.0
ρ, Mg/m³: 8.13
Crystal system: trigonal
Raw total energy, Ry/atom: -0.60128
ΔE_f, kJ/mol of formula units: -97.5
Polymorph energy (0 for the lowest one), eV per atom: 0.373